The following is a GGA+U calculation of a relaxed Mn2Tl2MoO6 crystal, from Alexandria via LeMat-Bulk.

The structure in CIF format:
```
data_Mn2Tl2MoO6
_chemical_formula_sum 'Mn4 Tl4 Mo2 O12'
_symmetry_space_group_name_H-M 'C 1 2/m 1'
_symmetry_Int_Tables_number 12
_cell_length_a 5.772
_cell_length_b 9.028
_cell_length_c 6.914
_cell_angle_alpha 90.00
_cell_angle_beta 108.86
_cell_angle_gamma 90.00
loop_
_symmetry_equiv_pos_as_xyz
'x,y,z'
'-x,-y,-z'
'-x,y,-z'
'x,-y,z'
'x+1/2,y+1/2,z'
'-x+1/2,-y+1/2,-z'
'-x+1/2,y+1/2,-z'
'x+1/2,-y+1/2,z'
loop_
_atom_site_label
_atom_site_fract_x
_atom_site_fract_y
_atom_site_fract_z
Mn1 0.000 0.165 0.000
Tl1 0.000 0.323 0.500
Mo1 0.000 0.500 0.000
O1 0.202 0.328 0.166
O2 0.218 0.000 0.142
```

Properties
total DFT energy (no corrections) = -6.46 eV/atom